# 1
Compound: VHg3P
Source: Alexandria via LeMat-Bulk
Functional: PBE-GGA
Structure: relaxed

Unit cell a=5.4015 b=5.4015 c=5.4015 alpha=90.00 beta=90.00 gamma=90.00
Positions (direct):
P (0.5000, 0.5000, 0.5000)
Hg (0.0000, 0.5000, 0.0000)
Hg (0.0000, 0.0000, 0.5000)
Hg (0.5000, 0.0000, 0.0000)
V (0.0000, 0.0000, 0.0000)

Output
Theoretical density in g cm⁻³: 7.2


# 2
Compound: Hg2PW
Source: Alexandria via LeMat-Bulk
Functional: PBE-GGA
Structure: relaxed

Unit cell a=7.7555 b=7.7555 c=7.7555 alpha=158.84 beta=150.54 gamma=36.56
Positions (direct):
Hg (0.6812, 0.6812, 0.0000)
Hg (0.3188, 0.3188, 0.0000)
P (0.0000, 0.5000, 0.5000)
W (0.5000, 0.0000, 0.5000)

Output
Theoretical density in g cm⁻³: 12.4


# 3
Compound: HgP3W
Source: Alexandria via LeMat-Bulk
Functional: PBE-GGA
Structure: relaxed

Unit cell a=4.7729 b=4.7729 c=4.7729 alpha=90.00 beta=90.00 gamma=90.00
Positions (direct):
P (0.0000, 0.5000, 0.0000)
P (0.0000, 0.0000, 0.5000)
P (0.5000, 0.0000, 0.0000)
Hg (0.0000, 0.0000, 0.0000)
W (0.5000, 0.5000, 0.5000)

Output
Theoretical density in g cm⁻³: 7.3


# 4
Compound: Hg2PW
Source: Alexandria via LeMat-Bulk
Functional: PBE-GGA
Structure: relaxed

Unit cell a=5.7950 b=5.7950 c=5.7950 alpha=141.62 beta=141.62 gamma=55.40
Positions (direct):
Hg (0.7500, 0.2500, 0.5000)
Hg (0.2500, 0.7500, 0.5000)
P (0.0000, 0.0000, 0.0000)
W (0.5000, 0.5000, 0.0000)

Output
Theoretical density in g cm⁻³: 13.7


# 5
Compound: HgPW3
Source: Alexandria via LeMat-Bulk
Functional: PBE-GGA
Structure: relaxed

Unit cell a=4.4926 b=4.4926 c=4.4926 alpha=90.00 beta=90.00 gamma=90.00
Positions (direct):
P (0.0000, 0.0000, 0.0000)
Hg (0.5000, 0.5000, 0.5000)
W (0.0000, 0.5000, 0.0000)
W (0.0000, 0.0000, 0.5000)
W (0.5000, 0.0000, 0.0000)

Output
Theoretical density in g cm⁻³: 14.3


# 6
Compound: Hg2PW
Source: Alexandria via LeMat-Bulk
Functional: PBE-GGA
Structure: relaxed

Unit cell a=5.3150 b=5.3150 c=3.0459 alpha=90.00 beta=90.00 gamma=119.79
Positions (direct):
Hg (0.5000, 0.0000, 0.0000)
Hg (0.0000, 0.5000, 0.0000)
P (0.0000, 0.0000, 0.5000)
W (0.5000, 0.5000, 0.5000)

Output
Theoretical density in g cm⁻³: 13.7


| no. | energy of formation (meV per atom) |
| --- | --- |
| 1 | 1077 |
| 2 | 324 |
| 3 | 2222 |
| 4 | 897 |
| 5 | 999 |
| 6 | 854 |